Entry 1:
TcHOs2Rh | PBE | optimized geometry

a b c (Å): 3.9160 3.8807 3.9160
angles (deg): 90.00 90.00 90.00
With the nearest neighbours (Å) after each atom.
Sites, in units of the cell vectors:
Rh 0.0000 0.5000 0.0000  2 H 1.94
Os 0.0000 0.0000 0.5000  2 H 1.96
Os 0.5000 0.0000 0.0000  2 H 1.96
Tc 0.5000 0.5000 0.5000  8 Os 2.76, 4 Rh 2.77
H 0.0000 0.0000 0.0000  2 Rh 1.94, 4 Os 1.96

E_tot (eV/atom): -8.55
Total magnetic moment (μB per cell): 0.000
Space group: No. 123

Entry 2:
TiNbPt3 | PBE | optimized geometry

a b c (Å): 5.1475 5.3221 6.9554
angles (deg): 112.50 101.30 90.00
With the nearest neighbours (Å) after each atom.
Sites, in units of the cell vectors:
Ti 0.6435 0.8099 0.6198  6 Pt 2.58-2.73
Ti 0.3565 0.1901 0.3802  6 Pt 2.58-2.73
Nb 0.7321 0.4654 0.9308  2 Nb 2.71-2.72, 6 Pt 2.81-2.99
Nb 0.2679 0.5346 0.0692  2 Nb 2.71-2.72, 6 Pt 2.81-2.99
Pt 0.7997 0.9119 0.3244  2 Ti 2.58-2.73, 5 Pt 2.66-2.85, 1 Nb 2.81
Pt 0.7996 0.4126 0.3245  2 Ti 2.58-2.73, 5 Pt 2.66-2.85, 1 Nb 2.81
Pt 0.2004 0.5874 0.6755  2 Ti 2.58-2.73, 5 Pt 2.66-2.85, 1 Nb 2.81
Pt 0.2003 0.0881 0.6756  2 Ti 2.58-2.73, 5 Pt 2.66-2.85, 1 Nb 2.81
Pt 0.0000 0.0000 0.0000  6 Pt 2.57-2.85, 2 Ti 2.73
Pt 0.5000 0.0000 0.0000  6 Pt 2.57-2.67, 2 Ti 2.70

Total magnetic moment (μB per cell): 0.000
Formation energy (eV/f.u.): -2.613
Space group: No. 12

Entry 3:
RbMgIn2Cl5 | PBE | optimized geometry

a b c (Å): 4.9433 7.4466 8.8152
angles (deg): 114.98 106.28 90.00
With the nearest neighbours (Å) after each atom.
Sites, in units of the cell vectors:
Rb 0.0000 0.5000 0.0000  10 Cl 3.63-3.72
Mg 0.5000 0.0000 0.0000  6 Cl 2.47-2.53
In 0.2041 0.2041 0.4082  7 Cl 3.10-3.32
In 0.7959 0.7959 0.5918  7 Cl 3.10-3.32
Cl 0.6192 0.8812 0.2384  1 Mg 2.53
Cl 0.3808 0.1188 0.7616  1 Mg 2.53
Cl 0.3808 0.6428 0.7616  1 Mg 2.53
Cl 0.6192 0.3572 0.2384  1 Mg 2.53
Cl 0.0000 0.0000 0.0000  2 Mg 2.47

Energy relative to the elements, uncorrected (eV/atom): -1.405
Total magnetic moment (μB per cell): 0.000
Space group: No. 71

Entry 4:
Ag4SbAu7 | PBE | optimized geometry

a b c (Å): 5.1678 9.4143 5.8189
angles (deg): 85.26 63.64 74.07
With the nearest neighbours (Å) after each atom.
Sites, in units of the cell vectors:
Ag 0.6026 0.2287 0.5660  8 Au 2.85-3.14, 1 Ag 3.06
Ag 0.3974 0.7713 0.4340  8 Au 2.85-3.14, 1 Ag 3.06
Ag 0.7265 0.6883 0.8587  7 Au 2.84-2.97, 1 Ag 3.06
Ag 0.2735 0.3117 0.1413  7 Au 2.84-2.97, 1 Ag 3.06
Sb 0.0000 0.0000 0.0000  4 Au 2.58-2.71
Au 0.8013 0.9089 0.4885  1 Sb 2.71, 2 Au 2.76-2.79, 4 Ag 2.84-2.90
Au 0.1987 0.0911 0.5115  1 Sb 2.71, 2 Au 2.76-2.79, 4 Ag 2.84-2.90
Au 0.0421 0.6157 0.3001  5 Au 2.79-3.02, 4 Ag 2.84-3.01
Au 0.9579 0.3843 0.6999  5 Au 2.79-3.02, 4 Ag 2.84-3.01
Au 0.3487 0.5320 0.7706  4 Au 2.83-2.93, 5 Ag 2.84-2.97
Au 0.5000 0.0000 0.0000  2 Sb 2.58, 2 Au 2.76, 2 Ag 2.88
Au 0.6513 0.4680 0.2294  4 Au 2.83-2.93, 5 Ag 2.84-2.97

Energy relative to the elements, uncorrected (eV/atom): 0.096
Total magnetic moment (μB per cell): 0.000
Space group: No. 12

Entry 5:
SrCaSe3 | PBE | optimized geometry

a b c (Å): 5.4454 5.4454 5.4454
angles (deg): 90.00 90.00 90.00
With the nearest neighbours (Å) after each atom.
Sites, in units of the cell vectors:
Sr 0.5000 0.5000 0.5000  12 Se 3.85
Ca 0.0000 0.0000 0.0000  6 Se 2.72
Se 0.0000 0.5000 0.0000  2 Ca 2.72
Se 0.0000 0.0000 0.5000  2 Ca 2.72
Se 0.5000 0.0000 0.0000  2 Ca 2.72

Energy relative to the elements, uncorrected (eV/atom): -0.990
Total magnetic moment (μB per cell): 1.136
Space group: No. 221

Entry 6:
KTaAs3 | PBE | optimized geometry

a b c (Å): 5.0567 5.0567 5.0567
angles (deg): 90.00 90.00 90.00
With the nearest neighbours (Å) after each atom.
Sites, in units of the cell vectors:
As 0.0000 0.5000 0.0000  2 K 2.53
As 0.0000 0.0000 0.5000  2 K 2.53
As 0.5000 0.0000 0.0000  2 K 2.53
K 0.0000 0.0000 0.0000  6 As 2.53
Ta 0.5000 0.5000 0.5000  12 As 3.58

Total magnetic moment (μB per cell): 0.000
Formation energy (eV/f.u.): 10.815
Space group: No. 221

Entry 7:
KP2PtS | PBE | optimized geometry

a b c (Å): 4.6423 4.6423 5.4613
angles (deg): 90.00 90.00 90.00
With the nearest neighbours (Å) after each atom.
Sites, in units of the cell vectors:
P 0.0000 0.5000 0.0000  2 Pt 2.32
P 0.5000 0.0000 0.0000  2 Pt 2.32
K 0.5000 0.5000 0.5000  4 S 3.28, 8 P 3.58
S 0.0000 0.0000 0.5000  2 Pt 2.73
Pt 0.0000 0.0000 0.0000  4 P 2.32

Energy relative to the elements, uncorrected (eV/atom): 0.186
Total magnetic moment (μB per cell): 0.000
Space group: No. 123

Entry 8:
Zr2SiIr | PBE | optimized geometry

a b c (Å): 4.6059 4.6059 4.6059
angles (deg): 60.00 60.00 60.00
With the nearest neighbours (Å) after each atom.
Sites, in units of the cell vectors:
Ir 0.5000 0.5000 0.5000  4 Si 2.82, 4 Zr 2.82
Si 0.7500 0.7500 0.7500  4 Ir 2.82, 4 Zr 2.82
Zr 0.0000 0.0000 0.0000  4 Zr 2.82, 4 Si 2.82
Zr 0.2500 0.2500 0.2500  4 Ir 2.82, 4 Zr 2.82

Energy relative to the elements, uncorrected (eV/atom): -0.282
Total magnetic moment (μB per cell): 0.003
Space group: No. 216

Entry 9:
Ti2AlGa | PBE | optimized geometry

a b c (Å): 4.0241 3.9755 3.9755
angles (deg): 90.00 90.00 90.00
With the nearest neighbours (Å) after each atom.
Sites, in units of the cell vectors:
Al 0.5000 0.5000 0.5000  4 Ga 2.81, 8 Ti 2.83
Ga 0.5000 0.0000 0.0000  4 Al 2.81, 8 Ti 2.83
Ti 0.0000 0.0000 0.5000  4 Ti 2.81, 4 Al 2.83, 4 Ga 2.83
Ti 0.0000 0.5000 0.0000  4 Ti 2.81, 4 Ga 2.83, 4 Al 2.83

Total magnetic moment (μB per cell): 0.000
Formation energy (eV/f.u.): -1.774
Space group: No. 123

Entry 10:
DyTh2Pd4 | PBE | optimized geometry

a b c (Å): 5.1766 5.1766 8.0411
angles (deg): 102.10 102.21 110.24
With the nearest neighbours (Å) after each atom.
Sites, in units of the cell vectors:
Dy 0.0000 0.0000 0.0000  6 Pd 2.59-2.77
Th 0.6332 0.6330 0.2663  1 Pd 2.72
Th 0.3668 0.3670 0.7337  1 Pd 2.72
Pd 0.8148 0.8146 0.6294  1 Th 2.72, 1 Dy 2.77
Pd 0.1852 0.1854 0.3706  1 Th 2.72, 1 Dy 2.77
Pd 0.0000 0.5000 0.0000  2 Dy 2.59
Pd 0.5000 0.0000 0.0000  2 Dy 2.59

Total magnetic moment (μB per cell): 0.000
Formation energy (eV/f.u.): -1.734
Space group: No. 12

Entry 11:
NdYGa2 | PBE | optimized geometry

a b c (Å): 3.7454 3.7454 9.0226
angles (deg): 78.02 78.02 60.00
With the nearest neighbours (Å) after each atom.
Sites, in units of the cell vectors:
Y 0.0000 0.0000 0.0000  6 Ga 3.03
Nd 0.5000 0.5000 0.5000  6 Ga 3.12
Ga 0.7477 0.7477 0.7569  3 Y 3.03, 3 Nd 3.12
Ga 0.2523 0.2523 0.2431  3 Y 3.03, 3 Nd 3.12

Total magnetic moment (μB per cell): 0.000
Formation energy (eV/f.u.): -1.613
Space group: No. 166

Entry 12:
Sc2CoGeC | PBE | optimized geometry

a b c (Å): 4.5241 4.5241 3.7007
angles (deg): 90.00 90.00 90.00
With the nearest neighbours (Å) after each atom.
Sites, in units of the cell vectors:
Sc 0.0000 0.5000 0.0000  2 C 2.26
Sc 0.5000 0.0000 0.0000  2 C 2.26
Ge 0.5000 0.5000 0.5000  8 Sc 2.92, 4 Co 3.20
Co 0.0000 0.0000 0.5000  2 C 1.85
C 0.0000 0.0000 0.0000  2 Co 1.85

Total magnetic moment (μB per cell): 0.001
Formation energy (eV/f.u.): -2.551
Space group: No. 123

Entry 13:
Rb2CuAg2Br6 | PBE | optimized geometry

a b c (Å): 8.0420 8.0420 8.0949
angles (deg): 60.22 60.22 60.00
With the nearest neighbours (Å) after each atom.
Sites, in units of the cell vectors:
Rb 0.7703 0.7703 0.6891  3 Br 3.59, 1 Ag 3.89
Rb 0.2297 0.2297 0.3109  3 Br 3.59, 1 Ag 3.89
Cu 0.0000 0.0000 0.0000  6 Br 2.62
Ag 0.4250 0.4250 0.7249  3 Br 2.59
Ag 0.5750 0.5750 0.2751  3 Br 2.59
Br 0.7708 0.7708 0.2448  1 Ag 2.59, 1 Cu 2.62
Br 0.2136 0.7708 0.2448  1 Ag 2.59, 1 Cu 2.62
Br 0.7708 0.2136 0.2448  1 Ag 2.59, 1 Cu 2.62
Br 0.2292 0.7864 0.7552  1 Ag 2.59, 1 Cu 2.62
Br 0.7864 0.2292 0.7552  1 Ag 2.59, 1 Cu 2.62
Br 0.2292 0.2292 0.7552  1 Ag 2.59, 1 Cu 2.62

Energy relative to the elements, uncorrected (eV/atom): -0.770
Total magnetic moment (μB per cell): 0.899
Space group: No. 166